Here is a relaxed structure of Tb6YTl5 from Alexandria. Energies are from GGA-PBE.

The calculation puts the calculated total energy at -49.472 eV per cell. For the density of states at the Fermi level, the calculation gives 1.0531 states/eV/atom. The formation enthalpy at 0 K is -0.283 eV per atom.

The structure in POSCAR format:
```
Tb6YTl5
1.0
4.820 0.019 -1.406
-1.214 7.790 -4.057
0.058 -0.266 9.160
Y Tl Tb
1 5 6
Direct
0.000 0.000 0.000 Y
0.647 0.147 0.295 Tl
0.321 0.321 0.642 Tl
0.000 0.500 0.000 Tl
0.679 0.679 0.358 Tl
0.353 0.853 0.705 Tl
0.829 0.565 0.659 Tb
0.829 0.093 0.659 Tb
0.500 0.726 0.000 Tb
0.500 0.274 0.000 Tb
0.171 0.907 0.341 Tb
0.171 0.435 0.341 Tb
```


Here is a relaxed structure of TbNd6Th from Alexandria. Energies are from GGA-PBE.

The calculation puts the calculated total energy at -40.349 eV per cell. For the density of states at the Fermi level, the calculation gives 1.4760 states/eV/atom. The formation enthalpy at 0 K is 0.039 eV per atom.

The structure in POSCAR format:
```
TbNd6Th
1.0
-1.345 -4.101 2.828
1.043 -3.096 -3.994
9.751 -0.939 3.274
Tb Nd Th
1 6 1
Direct
0.000 0.000 0.000 Tb
0.500 0.500 0.000 Nd
0.500 0.500 0.500 Nd
0.500 0.000 0.252 Nd
0.500 0.000 0.748 Nd
0.000 0.500 0.252 Nd
0.000 0.500 0.748 Nd
0.000 0.000 0.500 Th
```


Here is a relaxed structure of La2CdSi4Au3 from Alexandria. Energies are from GGA-PBE.

The calculation puts the calculated total energy at -47.833 eV per cell. For the density of states at the Fermi level, the calculation gives 0.3012 states/eV/atom. As for the formation energy from raw total energies: -554 meV/atom.

The structure in POSCAR format:
```
La2CdSi4Au3
1.0
4.444 0.000 0.000
0.000 4.444 0.000
0.000 0.000 10.381
La Cd Si Au
2 1 4 3
Direct
0.500 0.000 0.240 La
0.000 0.500 0.760 La
0.500 0.500 0.500 Cd
0.500 0.500 0.000 Si
0.000 0.000 0.000 Si
0.500 0.000 0.642 Si
0.000 0.500 0.358 Si
0.000 0.000 0.500 Au
0.500 0.000 0.880 Au
0.000 0.500 0.120 Au
```


Here is a relaxed structure of Np3NiSe6 from Alexandria. Energies are from GGA-PBE.

The calculation puts the calculated total energy at -150.041 eV per cell. For the density of states at the Fermi level, the calculation gives 3.0078 states/eV/atom. As for the formation energy from raw total energies: -951 meV/atom.

The structure in POSCAR format:
```
Np3NiSe6
1.0
-2.074 -3.158 -5.372
3.238 -7.509 3.165
-8.151 -0.141 3.230
Np Ni Se
6 2 12
Direct
0.475 0.930 0.725 Np
0.975 0.725 0.930 Np
0.380 0.391 0.609 Np
0.880 0.609 0.391 Np
0.975 0.070 0.275 Np
0.475 0.275 0.070 Np
0.051 0.197 0.803 Ni
0.551 0.803 0.197 Ni
0.178 0.695 0.630 Se
0.678 0.630 0.695 Se
0.198 0.441 0.908 Se
0.698 0.908 0.441 Se
0.172 0.034 0.966 Se
0.681 0.224 0.776 Se
0.181 0.776 0.224 Se
0.672 0.966 0.034 Se
0.198 0.092 0.559 Se
0.698 0.559 0.092 Se
0.178 0.370 0.305 Se
0.678 0.305 0.370 Se
```


Here is a relaxed structure of PdAuF3 from Alexandria. Energies are from GGA-PBE.

The calculation puts the calculated total energy at -17.409 eV per cell. For the density of states at the Fermi level, the calculation gives 0.2966 states/eV/atom. Its relative energy among the computed polymorphs is 0.0 meV per atom. As for the formation energy from raw total energies: -665 meV/atom.

The structure in POSCAR format:
```
PdAuF3
1.0
4.232 0.000 0.000
0.000 4.232 0.000
0.000 0.000 4.232
Au Pd F
1 1 3
Direct
0.500 0.500 0.500 Au
0.000 0.000 0.000 Pd
0.000 0.500 0.000 F
0.000 0.000 0.500 F
0.500 0.000 0.000 F
```


Here is a relaxed structure of Na5Hg2Sb2 from Alexandria. Energies are from GGA-PBE.

The calculation puts the calculated total energy at -35.050 eV per cell. For the density of states at the Fermi level, the calculation gives 0.4276 states/eV/atom. As for the formation energy from raw total energies: -231 meV/atom.

The structure in POSCAR format:
```
Na5Hg2Sb2
1.0
-2.874 -6.199 1.785
3.466 0.968 8.942
-8.229 3.140 -2.345
Na Hg Sb
10 4 4
Direct
0.000 0.000 0.000 Na
0.500 0.500 0.000 Na
0.813 0.873 0.308 Na
0.187 0.436 0.308 Na
0.313 0.936 0.308 Na
0.687 0.373 0.308 Na
0.187 0.127 0.692 Na
0.813 0.564 0.692 Na
0.687 0.064 0.692 Na
0.313 0.627 0.692 Na
0.586 0.857 0.000 Hg
0.414 0.143 0.000 Hg
0.086 0.643 0.000 Hg
0.914 0.357 0.000 Hg
0.000 0.218 0.436 Sb
0.500 0.718 0.436 Sb
0.000 0.782 0.564 Sb
0.500 0.282 0.564 Sb
```


Here is a relaxed structure of BaSrTe3 from Alexandria. Energies are from GGA-PBE.

The calculation puts the calculated total energy at -17.026 eV per cell. For the density of states at the Fermi level, the calculation gives 1.2919 states/eV/atom. Its relative energy among the computed polymorphs is 0.0 meV per atom. As for the formation energy from raw total energies: -799 meV/atom.

The structure in POSCAR format:
```
BaSrTe3
1.0
6.110 0.000 0.000
0.000 6.110 0.000
0.000 0.000 6.110
Sr Te Ba
1 3 1
Direct
0.000 0.000 0.000 Sr
0.000 0.500 0.000 Te
0.000 0.000 0.500 Te
0.500 0.000 0.000 Te
0.500 0.500 0.500 Ba
```


Here is a relaxed structure of Pm3Pr2Au4 from Alexandria. Energies are from GGA-PBE.

The calculation puts the calculated total energy at -84.721 eV per cell. For the density of states at the Fermi level, the calculation gives 1.2361 states/eV/atom. The formation enthalpy at 0 K is -0.604 eV per atom.

The structure in POSCAR format:
```
Pm3Pr2Au4
1.0
-5.219 5.254 -0.826
-5.536 -4.897 3.838
4.750 0.640 7.668
Pm Pr Au
6 4 8
Direct
0.000 0.000 0.000 Pm
0.500 0.500 0.000 Pm
0.526 0.750 0.552 Pm
0.974 0.250 0.448 Pm
0.474 0.250 0.448 Pm
0.026 0.750 0.552 Pm
0.094 0.592 0.188 Pr
0.906 0.408 0.812 Pr
0.406 0.092 0.812 Pr
0.594 0.908 0.188 Pr
0.707 0.750 0.913 Au
0.793 0.250 0.087 Au
0.293 0.250 0.087 Au
0.207 0.750 0.913 Au
0.186 0.963 0.371 Au
0.814 0.037 0.629 Au
0.314 0.463 0.629 Au
0.686 0.537 0.371 Au
```


Here is a relaxed structure of Zr2Ti2Zn from Alexandria. Energies are from GGA-PBE.

The calculation puts the calculated total energy at -66.196 eV per cell. For the density of states at the Fermi level, the calculation gives 0.9752 states/eV/atom. Its relative energy among the computed polymorphs is 269.8 meV per atom. The formation enthalpy at 0 K is 0.212 eV per atom.

The structure in POSCAR format:
```
Zr2Ti2Zn
1.0
-0.434 -7.245 -0.886
3.928 -0.980 6.089
-3.168 -0.059 2.034
Zn Zr Ti
2 4 4
Direct
0.000 0.000 0.000 Zn
0.500 0.500 0.000 Zn
0.356 0.856 0.000 Zr
0.856 0.644 0.000 Zr
0.644 0.144 0.000 Zr
0.144 0.356 0.000 Zr
0.153 0.653 0.500 Ti
0.653 0.847 0.500 Ti
0.847 0.347 0.500 Ti
0.347 0.153 0.500 Ti
```


Here is a relaxed structure of SiSnGe2 from Alexandria. Energies are from GGA-PBE.

The calculation puts the calculated total energy at -37.003 eV per cell. For the density of states at the Fermi level, the calculation gives 0.0000 states/eV/atom. Its relative energy among the computed polymorphs is 0.0 meV per atom. As for the formation energy from raw total energies: 40 meV/atom.

The structure in POSCAR format:
```
SiSnGe2
1.0
5.899 0.000 0.000
0.000 5.899 0.000
2.950 2.950 5.846
Ge Si Sn
4 2 2
Direct
0.590 0.125 0.250 Ge
0.160 0.625 0.250 Ge
0.375 0.410 0.750 Ge
0.875 0.840 0.750 Ge
0.500 0.500 0.000 Si
0.250 0.750 0.500 Si
0.000 0.000 0.000 Sn
0.750 0.250 0.500 Sn
```


Here is a relaxed structure of Na3Tl2PdO6 from Alexandria. Energies are from GGA-PBE.

The calculation puts the calculated total energy at -55.397 eV per cell. For the density of states at the Fermi level, the calculation gives 0.1036 states/eV/atom. As for the formation energy from raw total energies: -980 meV/atom.

The structure in POSCAR format:
```
Na3Tl2PdO6
1.0
5.849 -0.043 0.019
-2.960 5.044 0.019
-0.946 -1.637 5.466
Na Tl Pd O
3 2 1 6
Direct
0.162 0.838 0.500 Na
0.838 0.162 0.500 Na
0.500 0.500 0.500 Na
0.331 0.669 0.000 Tl
0.669 0.331 0.000 Tl
0.000 0.000 0.000 Pd
0.922 0.605 0.775 O
0.771 0.771 0.207 O
0.078 0.395 0.225 O
0.605 0.922 0.775 O
0.229 0.229 0.793 O
0.395 0.078 0.225 O
```


Here is a relaxed structure of K3NpAg2Cl9 from Alexandria. Energies are from GGA-PBE.

The calculation puts the calculated total energy at -60.075 eV per cell. For the density of states at the Fermi level, the calculation gives 0.5082 states/eV/atom. As for the formation energy from raw total energies: -1435 meV/atom.

The structure in POSCAR format:
```
K3NpAg2Cl9
1.0
7.543 0.000 0.000
-3.771 6.532 0.000
0.000 0.000 9.503
K Np Ag Cl
3 1 2 9
Direct
0.333 0.667 0.760 K
0.000 0.000 0.000 K
0.667 0.333 0.240 K
0.000 0.000 0.500 Np
0.333 0.667 0.159 Ag
0.667 0.333 0.841 Ag
0.839 0.161 0.663 Cl
0.839 0.677 0.663 Cl
0.323 0.161 0.663 Cl
0.677 0.839 0.337 Cl
0.161 0.323 0.337 Cl
0.161 0.839 0.337 Cl
0.500 0.000 0.000 Cl
0.000 0.500 0.000 Cl
0.500 0.500 0.000 Cl
```


Here is a relaxed structure of ScGeRu3 from Alexandria. Energies are from GGA-PBE.

The calculation puts the calculated total energy at -36.521 eV per cell. For the density of states at the Fermi level, the calculation gives 1.3311 states/eV/atom. Its relative energy among the computed polymorphs is 0.0 meV per atom. The formation enthalpy at 0 K is 0.451 eV per atom.

The structure in POSCAR format:
```
ScGeRu3
1.0
-2.496 3.762 0.064
-1.869 -1.174 -3.939
-3.266 -2.204 2.206
Sc Ru Ge
1 3 1
Direct
0.500 0.500 0.500 Sc
0.000 0.500 0.000 Ru
0.000 0.000 0.500 Ru
0.500 0.000 0.000 Ru
0.000 0.000 0.000 Ge
```


Here is a relaxed structure of ScSnHg from Alexandria. Energies are from GGA-PBE.

The calculation puts the calculated total energy at -11.576 eV per cell. For the density of states at the Fermi level, the calculation gives 0.4260 states/eV/atom. The formation enthalpy at 0 K is -0.313 eV per atom.

The structure in POSCAR format:
```
ScSnHg
1.0
3.559 0.000 0.000
0.000 4.775 0.000
0.000 -2.387 4.135
Sc Hg Sn
1 1 1
Direct
0.705 0.667 0.333 Sc
0.003 0.000 0.000 Hg
0.292 0.333 0.667 Sn
```


Here is a relaxed structure of NpNiCl6 from Alexandria. Energies are from GGA-PBE.

The calculation puts the calculated total energy at -39.586 eV per cell. For the density of states at the Fermi level, the calculation gives 0.7475 states/eV/atom. As for the formation energy from raw total energies: -1223 meV/atom.

The structure in POSCAR format:
```
NpNiCl6
1.0
-2.128 3.959 -5.162
4.917 -4.630 -1.112
-4.452 -4.268 -1.306
Np Ni Cl
1 1 6
Direct
0.000 0.000 0.500 Np
0.000 0.000 0.000 Ni
0.285 0.999 0.234 Cl
0.999 0.285 0.234 Cl
0.001 0.715 0.766 Cl
0.715 0.001 0.766 Cl
0.283 0.283 0.781 Cl
0.717 0.717 0.219 Cl
```


Here is a relaxed structure of Pm4Ga2Cl from Alexandria. Energies are from GGA-PBE.

The calculation puts the calculated total energy at -32.353 eV per cell. For the density of states at the Fermi level, the calculation gives 0.9153 states/eV/atom. As for the formation energy from raw total energies: -779 meV/atom.

The structure in POSCAR format:
```
Pm4Ga2Cl
1.0
-3.768 1.686 -1.105
-4.196 -4.862 -1.374
-4.323 -0.230 6.127
Cl Ga Pm
1 2 4
Direct
0.000 0.000 0.000 Cl
0.380 0.573 0.666 Ga
0.620 0.427 0.334 Ga
0.085 0.209 0.620 Pm
0.915 0.791 0.380 Pm
0.322 0.272 0.085 Pm
0.678 0.728 0.915 Pm
```


Here is a relaxed structure of Y3TcAu from Alexandria. Energies are from GGA-PBE.

The calculation puts the calculated total energy at -32.510 eV per cell. For the density of states at the Fermi level, the calculation gives 1.2088 states/eV/atom. Its relative energy among the computed polymorphs is 0.0 meV per atom. The formation enthalpy at 0 K is 0.105 eV per atom.

The structure in POSCAR format:
```
Y3TcAu
1.0
-2.134 1.099 -4.688
-3.962 -3.315 1.027
-2.736 3.943 2.170
Y Au Tc
3 1 1
Direct
0.000 0.500 0.000 Y
0.000 0.000 0.500 Y
0.500 0.000 0.000 Y
0.500 0.500 0.500 Au
0.000 0.000 0.000 Tc
```


Here is a relaxed structure of Sr3InO from Alexandria. Energies are from GGA-PBE.

The calculation puts the calculated total energy at -34.058 eV per cell. For the density of states at the Fermi level, the calculation gives 0.7229 states/eV/atom. As for the formation energy from raw total energies: -857 meV/atom.

The structure in POSCAR format:
```
Sr3InO
1.0
0.478 0.331 -7.281
-3.462 -6.144 -1.903
-6.563 3.779 -0.259
Sr O In
6 2 2
Direct
0.820 0.537 0.250 Sr
0.463 0.180 0.250 Sr
0.537 0.820 0.750 Sr
0.180 0.463 0.750 Sr
0.000 0.000 0.000 Sr
0.000 0.000 0.500 Sr
0.532 0.468 0.250 O
0.468 0.532 0.750 O
0.305 0.695 0.250 In
0.695 0.305 0.750 In
```


Here is a relaxed structure of HgGeSbI2 from Alexandria. Energies are from GGA-PBE.

The calculation puts the calculated total energy at -10.878 eV per cell. For the density of states at the Fermi level, the calculation gives 0.7408 states/eV/atom. Its relative energy among the computed polymorphs is 0.0 meV per atom. As for the formation energy from raw total energies: 253 meV/atom.

The structure in POSCAR format:
```
HgGeSbI2
1.0
5.807 0.000 0.000
0.000 5.807 0.000
0.000 0.000 5.665
I Sb Ge Hg
2 1 1 1
Direct
0.000 0.500 0.000 I
0.500 0.000 0.000 I
0.000 0.000 0.500 Sb
0.000 0.000 0.000 Ge
0.500 0.500 0.500 Hg
```


Here is a relaxed structure of Pd2SeCl2 from Alexandria. Energies are from GGA-PBE.

The calculation puts the calculated total energy at -15.463 eV per cell. For the density of states at the Fermi level, the calculation gives 1.0991 states/eV/atom. Its relative energy among the computed polymorphs is 537.5 meV per atom. As for the formation energy from raw total energies: 420 meV/atom.

The structure in POSCAR format:
```
Pd2SeCl2
1.0
-2.001 1.175 2.866
-2.013 -3.086 -0.140
2.582 -4.153 5.878
Se Pd Cl
1 2 2
Direct
0.000 0.000 0.000 Se
0.410 0.410 0.180 Pd
0.590 0.590 0.820 Pd
0.750 0.250 0.500 Cl
0.250 0.750 0.500 Cl
```


Here is a relaxed structure of CaH2C2O5 from Alexandria. Energies are from GGA-PBE.

The calculation puts the calculated total energy at -135.857 eV per cell. For the density of states at the Fermi level, the calculation gives 0.0000 states/eV/atom.

The structure in POSCAR format:
```
CaH2C2O5
1.0
-3.749 -3.113 4.033
3.459 -4.359 3.008
1.280 2.726 5.688
Ca H C O
2 4 4 10
Direct
0.205 0.172 0.999 Ca
0.828 0.795 0.001 Ca
0.156 0.515 0.621 H
0.485 0.844 0.379 H
0.705 0.708 0.472 H
0.292 0.295 0.528 H
0.623 0.377 0.000 C
0.410 0.590 0.000 C
0.972 0.901 0.458 C
0.099 0.028 0.542 C
0.616 0.712 0.362 O
0.288 0.384 0.638 O
0.880 0.765 0.603 O
0.235 0.120 0.397 O
0.976 0.937 0.256 O
0.063 0.024 0.744 O
0.447 0.781 0.975 O
0.219 0.553 0.025 O
0.590 0.189 0.999 O
0.811 0.410 0.001 O
```


Here is a relaxed structure of SiPt3S from Alexandria. Energies are from GGA-PBE.

The calculation puts the calculated total energy at -25.099 eV per cell. For the density of states at the Fermi level, the calculation gives 0.0076 states/eV/atom. Its relative energy among the computed polymorphs is 0.0 meV per atom. As for the formation energy from raw total energies: 515 meV/atom.

The structure in POSCAR format:
```
SiPt3S
1.0
4.537 0.000 0.000
0.000 4.537 0.000
0.000 0.000 4.537
S Si Pt
1 1 3
Direct
0.000 0.000 0.000 S
0.500 0.500 0.500 Si
0.000 0.500 0.000 Pt
0.000 0.000 0.500 Pt
0.500 0.000 0.000 Pt
```


Here is a relaxed structure of CaSi2BPt from Alexandria. Energies are from GGA-PBE.

The calculation puts the calculated total energy at -23.829 eV per cell. For the density of states at the Fermi level, the calculation gives 0.6219 states/eV/atom. As for the formation energy from raw total energies: 347 meV/atom.

The structure in POSCAR format:
```
CaSi2BPt
1.0
-2.636 3.508 -2.426
-3.434 -1.761 1.186
-0.028 2.838 4.134
Ca B Si Pt
1 1 2 1
Direct
0.500 0.500 0.500 Ca
0.000 0.500 0.000 B
0.000 0.000 0.500 Si
0.500 0.000 0.000 Si
0.000 0.000 0.000 Pt
```